SrFeO3 after structural relaxation, computed with PBE+U.

Output
D(E_F), states/eV/cell: 0.0
Calculated total energy, eV/atom: -5.98

Unit cell a=3.8761 b=5.8807 c=6.2390 alpha=90.00 beta=91.71 gamma=90.00
Closest atoms and distances in Å follow each position.
Sites, in units of the cell vectors:
Sr  0.1624  0.2500  0.3309  2 O 2.38-2.47
Sr  0.8376  0.7500  0.6691  2 O 2.38-2.47
Fe  0.4888  0.7500  0.1523  3 O 1.91-2.11
Fe  0.5112  0.2500  0.8477  3 O 1.91-2.11
O  0.1891  0.5043  0.9712  1 O 1.52
O  0.1891  0.9957  0.9712  1 O 1.52
O  0.3123  0.7500  0.4350  1 Fe 1.91
O  0.6877  0.2500  0.5650  1 Fe 1.91
O  0.8109  0.0043  0.0288  1 O 1.52
O  0.8109  0.4957  0.0288  1 O 1.52